This record from Alexandria via LeMat-Bulk describes a geometry-optimized MnZn3Au6 structure. The functional is PBE-GGA.

Its symmetry is P2_1/m. The crystal system is monoclinic. The raw total energy comes out at -68.14 eV for the cell shown. As for the energy above the most stable polymorph in this dataset: 0.0 meV per atom. The value obtained for the density is 14.21 g/cm³.

Cell lengths 4.574, 7.817, 9.751 Å; angles 106.09, 90.00, 90.00 degrees
Site moments in Bohr magnetons follow the coordinates.
Positions (direct):
Mn 0.250 0.940 0.613  4.00
Mn 0.750 0.060 0.387  4.00
Zn 0.250 0.539 0.411  0.00
Zn 0.750 0.461 0.589  0.00
Zn 0.250 0.340 0.811  0.00
Zn 0.750 0.660 0.189  0.00
Zn 0.250 0.752 0.004  0.01
Zn 0.750 0.248 0.996  0.01
Au 0.250 0.455 0.102  0.01
Au 0.750 0.545 0.898  0.01
Au 0.250 0.145 0.221  0.03
Au 0.750 0.855 0.779  0.03
Au 0.250 0.628 0.706  0.02
Au 0.750 0.372 0.294  0.02
Au 0.250 0.246 0.522  0.04
Au 0.750 0.754 0.478  0.04
Au 0.250 0.832 0.312  0.04
Au 0.750 0.168 0.688  0.04
Au 0.250 0.057 0.913  0.02
Au 0.750 0.943 0.087  0.02